Entry 1:
The following is a GGA-PBE calculation of crystalline LaCeAl2 at its relaxed geometry, from Alexandria via LeMat-Bulk.

## Properties
* density: 5.298 Mg/m³
* space-group type: P4/mmm, No. 123
* distance to the lowest polymorph of the same formula: 0.222 eV per formula unit

```
4
Lattice="3.7345 0.0000 0.0000 0.0000 3.7345 0.0000 0.0000 0.0000 7.4833" Properties=species:S:1:pos:R:3 pbc="T T T"
La 0.0000 0.0000 0.0000
Ce 0.0000 0.0000 3.7417
Al 1.8672 1.8672 1.9353
Al 1.8672 1.8672 5.5481
```


Entry 2:
The following is a GGA-PBE calculation of crystalline LaCe2Al at its relaxed geometry, from Alexandria via LeMat-Bulk.

## Properties
* density: 6.931 Mg/m³
* space-group type: Fm-3m, No. 225
* distance to the lowest polymorph of the same formula: 0.631 eV per formula unit

```
4
Lattice="0.0000 3.7667 3.7667 3.7667 0.0000 3.7667 3.7667 3.7667 0.0000" Properties=species:S:1:pos:R:3 pbc="T T T"
La 0.0000 0.0000 0.0000
Ce 1.8833 1.8833 1.8833
Ce 5.6500 5.6500 5.6500
Al 3.7667 3.7667 3.7667
```


Entry 3:
The following is a GGA-PBE calculation of crystalline La2CeAl at its relaxed geometry, from Alexandria via LeMat-Bulk.

## Properties
* density: 6.301 Mg/m³
* space-group type: R3m, No. 160
* distance to the lowest polymorph of the same formula: 0.397 eV per formula unit

```
4
Lattice="2.7285 1.5753 4.5466 -2.7285 1.5753 4.5466 0.0000 -3.1507 4.5466" Properties=species:S:1:pos:R:3 pbc="T T T"
La 0.0000 0.0000 0.0000
La 0.0000 0.0000 4.0903
Ce 0.0000 0.0000 6.8220
Al 0.0000 0.0000 10.1674
```


Volume list, top to bottom, in Å³ per cell: 104.37, 106.88, 117.26
E_form list, top to bottom, in meV/atom: -295, 35, -38